#one
Density functional theory data (PBE-GGA) for crystalline CsSiW3 at its relaxed geometry.

Results
Magnetization: 0.0 μB per formula unit

```
data_CsSiW3
_cell_length_a 4.941
_cell_length_b 4.941
_cell_length_c 4.941
_cell_angle_alpha 90.00
_cell_angle_beta 90.00
_cell_angle_gamma 90.00
_symmetry_space_group_name_H-M 'P m -3 m'
_symmetry_Int_Tables_number 221
_symmetry_space_group_name_Hall '-P 4 2 3'
loop_
_atom_site_label
_atom_site_type_symbol
_atom_site_fract_x
_atom_site_fract_y
_atom_site_fract_z
Cs1 Cs 0.000 0.000 0.000
Si1 Si 0.500 0.500 0.500
W1 W 0.000 0.000 0.500
```



#two
Density functional theory data (PBE-GGA) for crystalline CsSiW3 at its relaxed geometry.

Results
Magnetization: 0.0 μB per formula unit

```
data_CsSiW3
_cell_length_a 4.752
_cell_length_b 4.752
_cell_length_c 4.752
_cell_angle_alpha 90.00
_cell_angle_beta 90.00
_cell_angle_gamma 90.00
_symmetry_space_group_name_H-M 'P m -3 m'
_symmetry_Int_Tables_number 221
_symmetry_space_group_name_Hall '-P 4 2 3'
loop_
_atom_site_label
_atom_site_type_symbol
_atom_site_fract_x
_atom_site_fract_y
_atom_site_fract_z
Cs1 Cs 0.000 0.000 0.000
Si1 Si 0.500 0.500 0.500
W1 W 0.000 0.500 0.500
```



It is #two that is the most stable of them.



#one
Density functional theory data (PBE-GGA) for crystalline CsYSi2 at its relaxed geometry.

Results
Magnetization: 0.0 μB per formula unit

```
data_CsYSi2
_cell_length_a 5.580
_cell_length_b 5.580
_cell_length_c 19.560
_cell_angle_alpha 90.00
_cell_angle_beta 90.00
_cell_angle_gamma 90.00
_symmetry_space_group_name_H-M 'I 41/a m d'
_symmetry_Int_Tables_number 141
loop_
_symmetry_equiv_pos_as_xyz
'x,y,z'
'-x,-y,-z'
'-y+1/4,x+3/4,z+1/4'
'y+1/4,-x+3/4,-z+1/4'
'-x+1/2,-y,z+1/2'
'x+1/2,y,-z+1/2'
'y+1/4,-x+1/4,z+3/4'
'-y+1/4,x+1/4,-z+3/4'
'x,-y,-z'
'-x,y,z'
'-y+1/4,-x+1/4,-z+3/4'
'y+1/4,x+1/4,z+3/4'
'-x+1/2,y,-z+1/2'
'x+1/2,-y,z+1/2'
'y+1/4,x+3/4,-z+1/4'
'-y+1/4,-x+3/4,z+1/4'
'x+1/2,y+1/2,z+1/2'
'-x+1/2,-y+1/2,-z+1/2'
'-y+3/4,x+1/4,z+3/4'
'y+3/4,-x+1/4,-z+3/4'
'-x,-y+1/2,z'
'x,y+1/2,-z'
'y+3/4,-x+3/4,z+1/4'
'-y+3/4,x+3/4,-z+1/4'
'x+1/2,-y+1/2,-z+1/2'
'-x+1/2,y+1/2,z+1/2'
'-y+3/4,-x+3/4,-z+1/4'
'y+3/4,x+3/4,z+1/4'
'-x,y+1/2,-z'
'x,-y+1/2,z'
'y+3/4,x+1/4,-z+3/4'
'-y+3/4,-x+1/4,z+3/4'
loop_
_atom_site_label
_atom_site_type_symbol
_atom_site_fract_x
_atom_site_fract_y
_atom_site_fract_z
Cs1 Cs 0.000 0.250 0.375
Y1 Y 0.000 0.250 0.875
Si1 Si 0.000 0.000 0.000
```



#two
Density functional theory data (PBE-GGA) for crystalline CsYSi2 at its relaxed geometry.

Results
Magnetization: 0.0 μB per formula unit

```
data_CsYSi2
_cell_length_a 7.615
_cell_length_b 7.615
_cell_length_c 7.615
_cell_angle_alpha 90.00
_cell_angle_beta 90.00
_cell_angle_gamma 90.00
_symmetry_space_group_name_H-M 'F m -3 m'
_symmetry_Int_Tables_number 225
_symmetry_space_group_name_Hall '-F 4 2 3'
loop_
_atom_site_label
_atom_site_type_symbol
_atom_site_fract_x
_atom_site_fract_y
_atom_site_fract_z
Cs1 Cs 0.000 0.000 0.000
Y1 Y 0.000 0.000 0.500
Si1 Si 0.250 0.250 0.250
```



It is #one that is the most stable of them.



#one
Density functional theory data (PBE-GGA) for crystalline CsY3Si at its relaxed geometry.

Results
Magnetization: 0.0 μB per formula unit

```
data_CsY3Si
_cell_length_a 5.532
_cell_length_b 5.532
_cell_length_c 5.532
_cell_angle_alpha 90.00
_cell_angle_beta 90.00
_cell_angle_gamma 90.00
_symmetry_space_group_name_H-M 'P m -3 m'
_symmetry_Int_Tables_number 221
_symmetry_space_group_name_Hall '-P 4 2 3'
loop_
_atom_site_label
_atom_site_type_symbol
_atom_site_fract_x
_atom_site_fract_y
_atom_site_fract_z
Cs1 Cs 0.000 0.000 0.000
Y1 Y 0.000 0.000 0.500
Si1 Si 0.500 0.500 0.500
```



#two
Density functional theory data (PBE-GGA) for crystalline CsY3Si at its relaxed geometry.

Results
Magnetization: 0.0 μB per formula unit

```
data_CsY3Si
_cell_length_a 5.668
_cell_length_b 5.668
_cell_length_c 5.668
_cell_angle_alpha 90.00
_cell_angle_beta 90.00
_cell_angle_gamma 90.00
_symmetry_space_group_name_H-M 'P m -3 m'
_symmetry_Int_Tables_number 221
_symmetry_space_group_name_Hall '-P 4 2 3'
loop_
_atom_site_label
_atom_site_type_symbol
_atom_site_fract_x
_atom_site_fract_y
_atom_site_fract_z
Cs1 Cs 0.000 0.000 0.000
Y1 Y 0.000 0.500 0.500
Si1 Si 0.500 0.500 0.500
```



It is #two that is the most stable of them.



#one
Density functional theory data (PBE-GGA) for crystalline CsYSi3 at its relaxed geometry.

Results
Magnetization: 0.0 μB per formula unit

```
data_CsYSi3
_cell_length_a 5.522
_cell_length_b 5.522
_cell_length_c 5.522
_cell_angle_alpha 90.00
_cell_angle_beta 90.00
_cell_angle_gamma 90.00
_symmetry_space_group_name_H-M 'P m -3 m'
_symmetry_Int_Tables_number 221
_symmetry_space_group_name_Hall '-P 4 2 3'
loop_
_atom_site_label
_atom_site_type_symbol
_atom_site_fract_x
_atom_site_fract_y
_atom_site_fract_z
Cs1 Cs 0.000 0.000 0.000
Y1 Y 0.500 0.500 0.500
Si1 Si 0.000 0.500 0.500
```



#two
Density functional theory data (PBE-GGA) for crystalline CsYSi3 at its relaxed geometry.

Results
Magnetization: 0.0 μB per formula unit

```
data_CsYSi3
_cell_length_a 5.322
_cell_length_b 5.322
_cell_length_c 5.322
_cell_angle_alpha 90.00
_cell_angle_beta 90.00
_cell_angle_gamma 90.00
_symmetry_space_group_name_H-M 'P m -3 m'
_symmetry_Int_Tables_number 221
_symmetry_space_group_name_Hall '-P 4 2 3'
loop_
_atom_site_label
_atom_site_type_symbol
_atom_site_fract_x
_atom_site_fract_y
_atom_site_fract_z
Cs1 Cs 0.000 0.000 0.000
Y1 Y 0.500 0.500 0.500
Si1 Si 0.000 0.000 0.500
```



It is #one that is the most stable of them.



#one
Density functional theory data (PBE-GGA) for crystalline CsZn2Si2 at its relaxed geometry.

Results
Magnetization: 0.0 μB per formula unit

```
data_CsZn2Si2
_cell_length_a 4.670
_cell_length_b 4.670
_cell_length_c 10.283
_cell_angle_alpha 90.00
_cell_angle_beta 90.00
_cell_angle_gamma 90.00
_symmetry_space_group_name_H-M 'I 4/m m m'
_symmetry_Int_Tables_number 139
_symmetry_space_group_name_Hall '-I 4 2'
loop_
_atom_site_label
_atom_site_type_symbol
_atom_site_fract_x
_atom_site_fract_y
_atom_site_fract_z
Cs1 Cs 0.000 0.000 0.000
Zn1 Zn 0.000 0.500 0.250
Si1 Si 0.000 0.000 0.380
```



#two
Density functional theory data (PBE-GGA) for crystalline CsZn2Si2 at its relaxed geometry.

Results
Magnetization: 0.0 μB per formula unit

```
data_CsZn2Si2
_cell_length_a 8.827
_cell_length_b 8.827
_cell_length_c 3.274
_cell_angle_alpha 90.00
_cell_angle_beta 90.00
_cell_angle_gamma 90.00
_symmetry_space_group_name_H-M 'P 4/m b m'
_symmetry_Int_Tables_number 127
_symmetry_space_group_name_Hall '-P 4 2ab'
loop_
_atom_site_label
_atom_site_type_symbol
_atom_site_fract_x
_atom_site_fract_y
_atom_site_fract_z
Cs1 Cs 0.000 0.000 0.000
Zn1 Zn 0.126 0.374 0.500
Si1 Si 0.109 0.609 0.000
```



It is #one that is the most stable of them.



#one
Density functional theory data (PBE-GGA) for crystalline Cs2ZrSi at its relaxed geometry.

Results
Magnetization: 2.0 μB per formula unit

```
data_Cs2ZrSi
_cell_length_a 8.506
_cell_length_b 8.506
_cell_length_c 8.506
_cell_angle_alpha 90.00
_cell_angle_beta 90.00
_cell_angle_gamma 90.00
_symmetry_space_group_name_H-M 'F m -3 m'
_symmetry_Int_Tables_number 225
_symmetry_space_group_name_Hall '-F 4 2 3'
loop_
_atom_site_label
_atom_site_type_symbol
_atom_site_fract_x
_atom_site_fract_y
_atom_site_fract_z
Cs1 Cs 0.250 0.250 0.250
Zr1 Zr 0.000 0.000 0.000
Si1 Si 0.000 0.000 0.500
```



#two
Density functional theory data (PBE-GGA) for crystalline Cs2ZrSi at its relaxed geometry.

Results
Magnetization: 1.8 μB per formula unit

```
data_Cs2ZrSi
_cell_length_a 14.058
_cell_length_b 14.058
_cell_length_c 5.211
_cell_angle_alpha 90.00
_cell_angle_beta 90.00
_cell_angle_gamma 90.00
_symmetry_space_group_name_H-M 'I -4 2 d'
_symmetry_Int_Tables_number 122
_symmetry_space_group_name_Hall 'I -4 2bw'
loop_
_atom_site_label
_atom_site_type_symbol
_atom_site_fract_x
_atom_site_fract_y
_atom_site_fract_z
Cs1 Cs 0.075 0.250 0.125
Zr1 Zr 0.000 0.000 0.500
Si1 Si 0.000 0.000 0.000
```



It is #two that is the most stable of them.